Na2CoO3: optimized geometry, GGA+U.

Cell and atoms, written as extended XYZ:
```
12
Lattice="5.5082 0.1546 -0.2238 -0.4940 5.8805 0.3137 -0.9693 -2.2375 5.5977" Properties=species:S:1:pos:R:3 pbc="T T T"
Na 4.0154 4.2579 0.2627
Na 0.0295 -0.4604 5.4250
O 0.5563 5.3069 0.7267
Co 2.9128 -0.5142 3.6751
O 3.4886 -1.5094 4.9610
Co 1.1321 4.3118 2.0126
O 3.6707 1.0481 3.8339
Na 4.9569 0.7215 1.8087
O 1.0953 -0.7740 3.3840
O 0.3742 2.7494 1.8538
Na -0.9120 3.0760 3.8790
O 2.9496 4.5715 2.3037
```

Total moment in μB per formula unit: 4.00
Symmetry: No. 2
Crystal system: triclinic
E_tot in eV per cell: -58.7
Excess energy over the best structure of this formula in the dataset in meV per atom: 66